Entry from Alexandria via LeMat-Bulk: crystalline AcY8Ho3 at its relaxed geometry (PBE).

The structure in POSCAR format:
```
AcY8Ho3
1.0
1.389 5.177 -6.656
-6.602 -4.524 -3.003
-3.029 0.819 7.946
Ho Y Ac
3 8 1
Direct
0.500 0.747 0.247
0.169 0.500 0.669
0.500 0.253 0.753
0.167 0.912 0.745
0.836 0.169 0.668
0.833 0.088 0.254
0.498 0.831 0.667
0.828 0.663 0.165
0.833 0.579 0.745
0.502 0.337 0.165
0.166 0.421 0.254
0.167 0.000 0.167
```

Values from the calculation:
For the formation energy, the calculation gives 1.7 kJ per mole of atoms. The theoretical density comes out at 5.96 g cm⁻³.

---

Entry from Alexandria via LeMat-Bulk: crystalline Bi2OsO at its relaxed geometry (PBE).

The structure in POSCAR format:
```
Bi2OsO
1.0
5.828 0.000 0.000
0.000 5.828 0.000
2.914 2.914 5.810
O Os Bi
2 2 4
Direct
0.250 0.750 0.500
0.500 0.500 0.000
0.000 0.000 0.000
0.750 0.250 0.500
0.375 0.409 0.750
0.875 0.841 0.750
0.591 0.125 0.250
0.159 0.625 0.250
```

Values from the calculation:
Its formation energy without anion corrections is 0.363 eV per atom. The theoretical density comes out at 10.51 g cm⁻³.

---

Entry from Alexandria via LeMat-Bulk: crystalline SrSe2BrF at its relaxed geometry (PBE).

The structure in POSCAR format:
```
SrSe2BrF
1.0
6.265 0.000 0.000
0.000 6.265 0.000
0.000 0.000 5.783
Se Br F Sr
2 1 1 1
Direct
0.500 0.000 0.000
0.000 0.500 0.000
0.000 0.000 0.500
0.500 0.500 0.500
0.000 0.000 0.000
```

Values from the calculation:
Its formation energy without anion corrections is -0.273 eV per atom. The theoretical density comes out at 2.52 g cm⁻³. The energy above the most stable polymorph in this dataset is 0.662 eV/atom.

---

Entry from Alexandria via LeMat-Bulk: crystalline Sr2ScMo at its relaxed geometry (PBE).

The structure in POSCAR format:
```
Sr2ScMo
1.0
3.751 0.000 0.000
0.000 3.751 0.000
0.000 0.000 9.150
Sr Mo Sc
2 1 1
Direct
0.000 0.000 0.035
0.000 0.000 0.465
0.500 0.500 0.250
0.500 0.500 0.750
```

Values from the calculation:
For the formation energy, the calculation gives 90.6 kJ per mole of atoms. The theoretical density comes out at 4.08 g cm⁻³. The energy above the most stable polymorph in this dataset is 0.478 eV/atom.

---

- What is the theoretical density in the second record?
  10.51 g cm⁻³

---

- Among the records above, which one has the lowest theoretical density?
  SrSe2BrF